1.
Below is crystalline Tb6TmCo3 at its relaxed geometry, with properties calculated at the GGA-PBE level.

Calculated values
ΔE_f: -0.0642 eV per atom
SG: Cmc2_1
mass density: 8.534 Mg/m³

Cell: 8.5504 8.5504 7.2844 Å, 90.00 90.00 108.30°
Fractional coordinates of all 20 atoms:
Tb 0.0121 0.9879 0.5000
Tb 0.0147 0.3856 0.6459
Tb 0.2712 0.3753 0.2745
Tb 0.3430 0.6570 0.9041
Tb 0.3753 0.2712 0.7745
Tb 0.3856 0.0147 0.1459
Tb 0.6144 0.9853 0.6459
Tb 0.6247 0.7288 0.2745
Tb 0.6570 0.3430 0.4041
Tb 0.7288 0.6247 0.7745
Tb 0.9853 0.6144 0.1459
Tb 0.9879 0.0121 0.0000
Tm 0.2570 0.7430 0.4838
Tm 0.7430 0.2570 0.9838
Co 0.0512 0.7224 0.7915
Co 0.2776 0.9488 0.7915
Co 0.4385 0.5615 0.5790
Co 0.5615 0.4385 0.0790
Co 0.7224 0.0512 0.2915
Co 0.9488 0.2776 0.2915


2.
Below is crystalline Ce2PmSmBi4 at its relaxed geometry, with properties calculated at the GGA-PBE level.

Calculated values
ΔE_f: -0.8661 eV per atom
SG: P2/m
mass density: 8.598 Mg/m³

Cell: 7.9415 4.5841 7.9421 Å, 90.00 109.46 90.00°
Fractional coordinates of all 8 atoms:
Ce 0.0000 0.0000 0.0000
Ce 0.0000 0.5000 0.5000
Pm 0.5000 0.0000 0.5000
Sm 0.5000 0.5000 0.0000
Bi 0.2500 0.5000 0.2493
Bi 0.2506 0.0000 0.7509
Bi 0.7494 0.0000 0.2491
Bi 0.7500 0.5000 0.7507


3.
Below is crystalline BaGaHg2 at its relaxed geometry, with properties calculated at the GGA-PBE level.

Calculated values
ΔE_f: -0.4048 eV per atom
SG: Cmcm
mass density: 8.520 Mg/m³

Cell: 10.3932 10.3932 4.9629 Å, 90.00 90.00 153.75°
Fractional coordinates of all 8 atoms:
Ba 0.1109 0.8891 0.7500
Ba 0.8891 0.1109 0.2500
Ga 0.3233 0.6767 0.7500
Ga 0.6767 0.3233 0.2500
Hg 0.2525 0.7475 0.2500
Hg 0.4607 0.5393 0.7500
Hg 0.5393 0.4607 0.2500
Hg 0.7475 0.2525 0.7500


4.
Below is crystalline ZnCu2AsS4 at its relaxed geometry, with properties calculated at the GGA-PBE level.

Calculated values
formation energy (no corrections): -281.9 meV/atom
SG: I-42m
mass density: 4.136 Mg/m³

Cell: 6.6211 6.6211 6.6211 Å, 131.63 131.63 70.82°
Fractional coordinates of all 8 atoms:
Zn 0.0000 0.0000 0.0000
Cu 0.2500 0.7500 0.5000
Cu 0.7500 0.2500 0.5000
As 0.5000 0.5000 0.0000
S 0.1134 0.1134 0.4925
S 0.3791 0.8866 0.0000
S 0.6209 0.6209 0.5075
S 0.8866 0.3791 0.0000


5.
Below is crystalline RbTl3Rh at its relaxed geometry, with properties calculated at the GGA-PBE level.

Calculated values
ΔE_f: 0.2367 eV per atom
SG: Amm2
energy above the lowest structure with this stoichiometry: 300 meV/atom
mass density: 5.524 Mg/m³

Cell: 3.9102 9.7518 9.7518 Å, 40.38 90.00 90.00°
Fractional coordinates of all 5 atoms:
Rb 0.0000 0.0000 0.0000
Tl 0.0000 0.4046 0.9573
Tl 0.0000 0.9573 0.4046
Tl 0.5000 0.8223 0.8223
Rh 0.5000 0.6789 0.6789


6.
Below is crystalline SmDyIrPb at its relaxed geometry, with properties calculated at the GGA-PBE level.

Calculated values
ΔE_f: -0.4436 eV per atom
SG: F-43m
energy above the lowest structure with this stoichiometry: 203 meV/atom
mass density: 11.978 Mg/m³

Cell: 5.1881 5.1881 5.1881 Å, 60.00 60.00 60.00°
Fractional coordinates of all 4 atoms:
Sm 0.0000 0.0000 0.0000
Dy 0.5000 0.5000 0.5000
Ir 0.7500 0.7500 0.7500
Pb 0.2500 0.2500 0.2500


7.
Below is crystalline CaGaHg2H at its relaxed geometry, with properties calculated at the GGA-PBE level.

Calculated values
SG: P4/mmm
final energy: -1.51 eV per atom
mass density: 5.474 Mg/m³

Cell: 5.1119 5.1119 5.9434 Å, 90.00 90.00 90.00°
Fractional coordinates of all 5 atoms:
Ca 0.0000 0.0000 0.0000
Ga 0.0000 0.0000 0.5000
Hg 0.0000 0.5000 0.5000
Hg 0.5000 0.0000 0.5000
H 0.5000 0.5000 0.0000


8.
Below is crystalline LiGePb2 at its relaxed geometry, with properties calculated at the GGA-PBE level.

Calculated values
ΔE_f: -0.0280 eV per atom
SG: P4/mmm
mass density: 8.232 Mg/m³

Cell: 4.7484 4.7484 4.4196 Å, 90.00 90.00 90.00°
Fractional coordinates of all 4 atoms:
Li 0.0000 0.0000 0.0000
Ge 0.5000 0.5000 0.0000
Pb 0.0000 0.5000 0.5000
Pb 0.5000 0.0000 0.5000


9.
Below is crystalline CsNaSr2O at its relaxed geometry, with properties calculated at the GGA-PBE level.

Calculated values
formation energy (no corrections): -704.4 meV/atom
SG: P4/mmm
mass density: 2.673 Mg/m³

Cell: 5.1637 5.1637 8.0862 Å, 90.00 90.00 90.00°
Fractional coordinates of all 5 atoms:
Cs 0.0000 0.0000 0.0000
Na 0.5000 0.5000 0.0000
Sr 0.0000 0.5000 0.5000
Sr 0.5000 0.0000 0.5000
O 0.5000 0.5000 0.5000


10.
Below is crystalline K4FeIr at its relaxed geometry, with properties calculated at the GGA-PBE level.

Calculated values
ΔE_f: 1.3714 eV per atom
SG: F-43m
mass density: 3.541 Mg/m³

Cell: 6.4492 6.4492 6.4492 Å, 60.00 60.00 60.00°
Fractional coordinates of all 6 atoms:
K 0.3760 0.3760 0.3760
K 0.3760 0.3760 0.8719
K 0.3760 0.8719 0.3760
K 0.8719 0.3760 0.3760
Fe 0.0000 0.0000 0.0000
Ir 0.7500 0.7500 0.7500


11.
Below is crystalline PmSn4Bi at its relaxed geometry, with properties calculated at the GGA-PBE level.

Calculated values
ΔE_f: -0.1835 eV per atom
SG: F-43m
mass density: 8.075 Mg/m³

Cell: 6.2233 6.2233 6.2233 Å, 60.00 60.00 60.00°
Fractional coordinates of all 6 atoms:
Pm 0.0000 0.0000 0.0000
Sn 0.1243 0.6252 0.6252
Sn 0.6252 0.1243 0.6252
Sn 0.6252 0.6252 0.1243
Sn 0.6252 0.6252 0.6252
Bi 0.2500 0.2500 0.2500


12.
Below is crystalline CoTc2Os at its relaxed geometry, with properties calculated at the GGA-PBE level.

Calculated values
ΔE_f: 0.0679 eV per atom
SG: I-4m2
energy above the lowest structure with this stoichiometry: 105 meV/atom
mass density: 13.660 Mg/m³

Cell: 4.6005 4.6005 4.6005 Å, 131.09 131.09 71.67°
Fractional coordinates of all 4 atoms:
Co 0.0000 0.0000 0.0000
Tc 0.5000 0.5000 0.0000
Tc 0.7500 0.2500 0.5000
Os 0.2500 0.7500 0.5000


13.
Below is crystalline Rb2HgIrCl at its relaxed geometry, with properties calculated at the GGA-PBE level.

Calculated values
formation energy (no corrections): 265.8 meV/atom
SG: P4/mmm
mass density: 4.090 Mg/m³

Cell: 6.2367 6.2367 6.2538 Å, 90.00 90.00 90.00°
Fractional coordinates of all 5 atoms:
Rb 0.0000 0.5000 0.0000
Rb 0.5000 0.0000 0.0000
Hg 0.0000 0.0000 0.5000
Ir 0.5000 0.5000 0.5000
Cl 0.0000 0.0000 0.0000


14.
Below is crystalline TbMgRh at its relaxed geometry, with properties calculated at the GGA-PBE level.

Calculated values
ΔE_f: -0.4967 eV per atom
SG: F-43m
mass density: 6.732 Mg/m³

Cell: 4.6388 4.6388 4.6388 Å, 60.00 60.00 60.00°
Fractional coordinates of all 3 atoms:
Tb 0.0000 0.0000 0.0000
Mg 0.5000 0.5000 0.5000
Rh 0.2500 0.2500 0.2500


15.
Below is crystalline Ta4ReW3 at its relaxed geometry, with properties calculated at the GGA-PBE level.

Calculated values
ΔE_f: -0.1973 eV per atom
SG: Pmmm
mass density: 17.993 Mg/m³

Cell: 3.2319 4.5692 9.1341 Å, 90.00 90.00 90.00°
Fractional coordinates of all 8 atoms:
Ta 0.0000 0.0000 0.0000
Ta 0.0000 0.0000 0.5000
Ta 0.0000 0.5000 0.2473
Ta 0.0000 0.5000 0.7527
Re 0.5000 0.5000 0.0000
W 0.5000 0.0000 0.2495
W 0.5000 0.0000 0.7505
W 0.5000 0.5000 0.5000


16.
Below is crystalline ErScMn17 at its relaxed geometry, with properties calculated at the GGA-PBE level.

Calculated values
ΔE_f: 0.0184 eV per atom
SG: R3m
mass density: 8.070 Mg/m³

Cell: 6.2392 6.2392 6.2392 Å, 81.64 81.64 81.64°
Fractional coordinates of all 19 atoms:
Er 0.0000 0.0000 0.0000
Sc 0.3116 0.3116 0.3116
Mn 0.1585 0.6552 0.6552
Mn 0.3147 0.3147 0.8099
Mn 0.3147 0.8099 0.3147
Mn 0.3631 0.6531 0.9520
Mn 0.3631 0.9520 0.6531
Mn 0.5006 0.9979 0.9979
Mn 0.5646 0.5646 0.5646
Mn 0.6531 0.3631 0.9520
Mn 0.6531 0.9520 0.3631
Mn 0.6552 0.1585 0.6552
Mn 0.6552 0.6552 0.1585
Mn 0.7474 0.7474 0.7474
Mn 0.8099 0.3147 0.3147
Mn 0.9520 0.3631 0.6531
Mn 0.9520 0.6531 0.3631
Mn 0.9979 0.5006 0.9979
Mn 0.9979 0.9979 0.5006


17.
Below is crystalline BeHPd at its relaxed geometry, with properties calculated at the GGA-PBE level.

Calculated values
SG: P2_1
energy above the lowest structure with this stoichiometry: 0 meV/atom
mass density: 7.133 Mg/m³

Cell: 7.9083 3.5866 7.9747 Å, 90.00 106.51 90.00°
Fractional coordinates of all 24 atoms:
Be 0.0476 0.0000 0.4141
Be 0.2441 0.6245 0.6235
Be 0.2677 0.6313 0.0089
Be 0.3384 0.6252 0.3037
Be 0.6616 0.1252 0.6963
Be 0.7323 0.1313 0.9911
Be 0.7559 0.1245 0.3765
Be 0.9524 0.5000 0.5859
H 0.0035 0.6433 0.1267
H 0.0664 0.6352 0.4887
H 0.1809 0.3082 0.3651
H 0.4004 0.9526 0.9485
H 0.5996 0.4526 0.0515
H 0.8191 0.8082 0.6349
H 0.9336 0.1352 0.5113
H 0.9965 0.1433 0.8733
Pd 0.0986 0.1278 0.1442
Pd 0.1955 0.1508 0.8073
Pd 0.3666 0.1189 0.5140
Pd 0.4714 0.1291 0.1714
Pd 0.5286 0.6291 0.8286
Pd 0.6334 0.6189 0.4860
Pd 0.8045 0.6508 0.1927
Pd 0.9014 0.6278 0.8558


18.
Below is crystalline NaPaF5 at its relaxed geometry, with properties calculated at the GGA-PBE level.

Calculated values
formation energy (no corrections): -3513.1 meV/atom
SG: C2/c
energy above the lowest structure with this stoichiometry: 24 meV/atom
mass density: 4.281 Mg/m³

Cell: 6.0190 6.0190 8.8994 Å, 112.14 112.14 71.48°
Fractional coordinates of all 14 atoms:
Na 0.0121 0.9879 0.7500
Na 0.9879 0.0121 0.2500
Pa 0.5000 0.5000 0.0000
Pa 0.5000 0.5000 0.5000
F 0.1709 0.7563 0.0464
F 0.2017 0.3082 0.3620
F 0.2437 0.8291 0.4536
F 0.3082 0.2017 0.8620
F 0.3985 0.6015 0.7500
F 0.6015 0.3985 0.2500
F 0.6918 0.7983 0.1380
F 0.7563 0.1709 0.5464
F 0.7983 0.6918 0.6380
F 0.8291 0.2437 0.9536